1.
DFT (PBE) results for a relaxed structure of La3Pr5Dy2.

```
La3Pr5Dy2
1.0
-9.871 1.306 -2.549
-6.585 -5.103 5.934
7.819 7.765 2.899
La Pr Dy
6 10 4
Direct
0.227 0.977 0.954 La
0.773 0.023 0.046 La
0.723 0.467 0.248 La
0.277 0.533 0.752 La
0.025 0.781 0.248 La
0.975 0.219 0.752 La
0.271 0.521 0.041 Pr
0.729 0.479 0.959 Pr
0.018 0.768 0.535 Pr
0.523 0.273 0.545 Pr
0.982 0.232 0.465 Pr
0.477 0.727 0.455 Pr
0.862 0.620 0.746 Pr
0.138 0.380 0.254 Pr
0.384 0.127 0.746 Pr
0.616 0.873 0.254 Pr
0.780 0.023 0.748 Dy
0.220 0.977 0.252 Dy
0.468 0.725 0.748 Dy
0.532 0.275 0.252 Dy
```

Summary:
space group = C2/c
DFT formation energy = 0.16 eV per atom

=====

2.
DFT (PBE) results for a relaxed structure of La3Pr2Dy2.

```
La3Pr2Dy2
1.0
3.629 0.000 0.000
0.000 5.605 1.237
-1.814 0.242 12.192
La Pr Dy
3 2 2
Direct
0.000 0.500 0.000 La
0.223 0.777 0.445 La
0.777 0.223 0.555 La
0.579 0.921 0.157 Pr
0.421 0.079 0.843 Pr
0.856 0.644 0.712 Dy
0.144 0.356 0.288 Dy
```

Summary:
space group = Immm
excess energy over the best structure of this formula in the dataset = 0.021 eV per atom
DFT formation energy = 0.04 eV per atom

=====

3.
DFT (PBE) results for a relaxed structure of La8PrDy5.

```
La8PrDy5
1.0
-1.466 0.078 -8.627
6.620 -5.215 2.276
-7.949 -2.326 2.655
La Pr Dy
8 1 5
Direct
0.138 0.651 0.906 La
0.890 0.111 0.644 La
0.761 0.243 0.306 La
0.723 0.377 0.936 La
0.573 0.650 0.324 La
0.519 0.898 0.792 La
0.264 0.378 0.473 La
0.056 0.754 0.520 La
0.354 0.374 0.841 Pr
0.105 0.416 0.135 Dy
0.938 0.894 0.193 Dy
0.730 0.616 0.706 Dy
0.407 0.022 0.423 Dy
0.289 0.117 0.051 Dy
```

Summary:
space group = P1
DFT formation energy = 0.15 eV per atom

=====

4.
DFT (PBE) results for a relaxed structure of La2PrDy.

```
La2PrDy
1.0
3.579 0.000 0.000
1.789 3.099 0.000
1.789 1.033 12.835
Pr La Dy
1 2 1
Direct
0.000 0.000 0.000 Pr
0.089 0.089 0.732 La
0.911 0.911 0.268 La
0.500 0.500 0.500 Dy
```

Summary:
space group = R-3m
excess energy over the best structure of this formula in the dataset = 0.127 eV per atom
DFT formation energy = 0.14 eV per atom

=====

5.
DFT (PBE) results for a relaxed structure of La2Pr6Dy.

```
La2Pr6Dy
1.0
5.775 -3.023 -1.138
-1.474 11.974 1.555
-4.875 1.930 10.977
La Pr Dy
4 12 2
Direct
0.533 0.730 0.845 La
0.967 0.155 0.270 La
0.467 0.270 0.155 La
0.033 0.845 0.730 La
0.773 0.521 0.671 Pr
0.727 0.329 0.479 Pr
0.227 0.479 0.329 Pr
0.273 0.671 0.521 Pr
0.833 0.821 0.399 Pr
0.667 0.601 0.179 Pr
0.167 0.179 0.601 Pr
0.333 0.399 0.821 Pr
0.136 0.692 0.054 Pr
0.364 0.946 0.308 Pr
0.864 0.308 0.946 Pr
0.636 0.054 0.692 Pr
0.250 0.035 0.965 Dy
0.750 0.965 0.035 Dy
```

Summary:
space group = C2/c
excess energy over the best structure of this formula in the dataset = 0.000 eV per atom
DFT formation energy = 0.09 eV per atom

=====

6.
DFT (PBE) results for a relaxed structure of La4Pr4Dy.

```
La4Pr4Dy
1.0
-1.062 -3.780 3.516
-5.738 -5.031 -3.191
5.113 -6.361 -1.343
La Pr Dy
4 4 1
Direct
0.666 0.668 0.000 La
0.334 0.332 0.000 La
0.666 0.000 0.668 La
0.334 0.000 0.332 La
0.668 0.332 0.332 Pr
0.332 0.668 0.668 Pr
0.000 0.668 0.332 Pr
0.000 0.332 0.668 Pr
0.000 0.000 0.000 Dy
```

Summary:
space group = I4/mmm
DFT formation energy = 0.02 eV per atom

=====

7.
DFT (PBE) results for a relaxed structure of La12Pr7Dy.

```
La12Pr7Dy
1.0
8.762 1.112 1.669
-1.368 8.726 1.669
-1.368 -1.821 8.696
La Pr Dy
12 7 1
Direct
0.856 0.254 0.721 La
0.746 0.279 0.144 La
0.602 0.144 0.485 La
0.856 0.515 0.398 La
0.279 0.144 0.746 La
0.515 0.398 0.856 La
0.485 0.602 0.144 La
0.721 0.856 0.254 La
0.144 0.485 0.602 La
0.398 0.856 0.515 La
0.254 0.721 0.856 La
0.144 0.746 0.279 La
0.862 0.616 0.927 Pr
0.384 0.073 0.138 Pr
0.073 0.138 0.384 Pr
0.500 0.500 0.500 Pr
0.927 0.862 0.616 Pr
0.616 0.927 0.862 Pr
0.138 0.384 0.073 Pr
0.000 0.000 0.000 Dy
```

Summary:
space group = R-3
excess energy over the best structure of this formula in the dataset = 0.000 eV per atom
DFT formation energy = 0.17 eV per atom

=====

8.
DFT (PBE) results for a relaxed structure of LaPr2Dy.

```
LaPr2Dy
1.0
-4.846 1.430 1.310
-1.471 -4.974 -0.013
1.245 -0.381 5.021
Pr La Dy
2 1 1
Direct
0.000 0.000 0.500 Pr
0.000 0.500 0.000 Pr
0.500 0.000 0.000 La
0.500 0.500 0.500 Dy
```

Summary:
space group = P4/mmm
excess energy over the best structure of this formula in the dataset = 0.000 eV per atom
DFT formation energy = 0.01 eV per atom

=====

9.
DFT (PBE) results for a relaxed structure of La4Pr3Dy.

```
La4Pr3Dy
1.0
7.445 0.000 0.000
0.000 6.454 0.000
0.000 0.000 11.986
La Pr Dy
8 6 2
Direct
0.189 0.833 0.000 La
0.439 0.332 0.000 La
0.940 0.002 0.248 La
0.440 0.998 0.252 La
0.939 0.668 0.500 La
0.689 0.167 0.500 La
0.440 0.998 0.748 La
0.940 0.002 0.752 La
0.691 0.834 0.000 Pr
0.189 0.499 0.250 Pr
0.689 0.501 0.250 Pr
0.191 0.166 0.500 Pr
0.689 0.501 0.750 Pr
0.189 0.499 0.750 Pr
0.939 0.334 0.000 Dy
0.439 0.666 0.500 Dy
```

Summary:
space group = Pmn2_1
excess energy over the best structure of this formula in the dataset = 0.000 eV per atom
DFT formation energy = 0.00 eV per atom

=====

10.
DFT (PBE) results for a relaxed structure of LaPr7Dy4.

```
LaPr7Dy4
1.0
6.559 -1.883 2.823
0.723 5.934 2.277
2.860 -2.319 11.119
La Pr Dy
1 7 4
Direct
0.000 0.000 0.000 La
0.744 0.500 0.002 Pr
0.256 0.500 0.998 Pr
0.084 0.280 0.664 Pr
0.916 0.720 0.336 Pr
0.335 0.777 0.665 Pr
0.500 0.000 0.000 Pr
0.665 0.223 0.335 Pr
0.410 0.723 0.334 Dy
0.590 0.277 0.666 Dy
0.836 0.782 0.664 Dy
0.164 0.218 0.336 Dy
```

Summary:
space group = P-1
excess energy over the best structure of this formula in the dataset = 0.000 eV per atom
DFT formation energy = 0.00 eV per atom

=====

11.
DFT (PBE) results for a relaxed structure of La2Pr5Dy4.

```
La2Pr5Dy4
1.0
-0.214 0.143 -3.560
-2.202 -9.051 -0.232
-10.361 7.247 2.703
La Pr Dy
2 5 4
Direct
0.267 0.267 0.534 La
0.733 0.733 0.466 La
0.858 0.054 0.716 Pr
0.858 0.662 0.716 Pr
0.142 0.338 0.284 Pr
0.142 0.946 0.284 Pr
0.500 0.000 0.000 Pr
0.000 0.315 0.000 Dy
0.597 0.597 0.194 Dy
0.000 0.685 0.000 Dy
0.403 0.403 0.806 Dy
```

Summary:
space group = Immm
excess energy over the best structure of this formula in the dataset = 0.027 eV per atom
DFT formation energy = 0.16 eV per atom

=====

12.
DFT (PBE) results for a relaxed structure of La2PrDy4.

```
La2PrDy4
1.0
7.779 -1.590 1.947
1.089 7.584 1.776
-2.167 -1.428 7.424
Pr Dy La
2 8 4
Direct
0.500 0.500 0.000 Pr
0.000 0.500 0.000 Pr
0.281 0.252 0.250 Dy
0.719 0.250 0.248 Dy
0.281 0.750 0.752 Dy
0.719 0.748 0.750 Dy
0.719 0.749 0.249 Dy
0.719 0.251 0.751 Dy
0.281 0.749 0.249 Dy
0.281 0.251 0.751 Dy
0.000 0.000 0.000 La
0.000 0.000 0.500 La
0.000 0.500 0.500 La
0.500 0.000 0.500 La
```

Summary:
space group = C2/m
excess energy over the best structure of this formula in the dataset = 0.083 eV per atom
DFT formation energy = 0.32 eV per atom

=====

What did the tenth record say?
DFT (PBE) results for a relaxed structure of LaPr7Dy4.

```
LaPr7Dy4
1.0
6.559 -1.883 2.823
0.723 5.934 2.277
2.860 -2.319 11.119
La Pr Dy
1 7 4
Direct
0.000 0.000 0.000 La
0.744 0.500 0.002 Pr
0.256 0.500 0.998 Pr
0.084 0.280 0.664 Pr
0.916 0.720 0.336 Pr
0.335 0.777 0.665 Pr
0.500 0.000 0.000 Pr
0.665 0.223 0.335 Pr
0.410 0.723 0.334 Dy
0.590 0.277 0.666 Dy
0.836 0.782 0.664 Dy
0.164 0.218 0.336 Dy
```

Summary:
space group = P-1
excess energy over the best structure of this formula in the dataset = 0.000 eV per atom
DFT formation energy = 0.00 eV per atom